Entry from Alexandria: an optimized crystal structure of Nd2Tm7Cd2 (PBE-GGA).

As for the space-group type: No. 12. The calculation puts the formation energy at 0.04 eV/atom.

Geometry as CIF:
```
data_Nd2Tm7Cd2
_chemical_formula_sum 'Nd2 Tm7 Cd2'
_space_group_name_H-M_alt 'P 1'
_space_group_IT_number 1
_cell_length_a 6.564
_cell_length_b 6.564
_cell_length_c 7.976
_cell_angle_alpha 100.35
_cell_angle_beta 100.35
_cell_angle_gamma 91.50
loop_
_space_group_symop_operation_xyz
'x,y,z'
loop_
_atom_site_label
_atom_site_fract_x
_atom_site_fract_y
_atom_site_fract_z
Nd1 0.181 0.819 0.000
Nd2 0.819 0.181 0.000
Tm1 0.000 0.000 0.500
Tm2 0.121 0.522 0.330
Tm3 0.304 0.304 0.964
Tm4 0.478 0.879 0.670
Tm5 0.522 0.121 0.330
Tm6 0.696 0.696 0.036
Tm7 0.879 0.478 0.670
Cd1 0.399 0.399 0.647
Cd2 0.601 0.601 0.353
```



Entry from Alexandria: an optimized crystal structure of SrZr3Se (PBE-GGA).

As for the space-group type: No. 221. The value obtained for the uncorrected formation energy is -0.07 eV/atom. Its energy above the most stable polymorph in this dataset is 0.0000 eV/atom.

Geometry as CIF:
```
data_SrZr3Se
_chemical_formula_sum 'Sr1 Zr3 Se1'
_space_group_name_H-M_alt 'P 1'
_space_group_IT_number 1
_cell_length_a 5.178
_cell_length_b 5.178
_cell_length_c 5.178
_cell_angle_alpha 90.00
_cell_angle_beta 90.00
_cell_angle_gamma 90.00
loop_
_space_group_symop_operation_xyz
'x,y,z'
loop_
_atom_site_label
_atom_site_fract_x
_atom_site_fract_y
_atom_site_fract_z
Sr1 0.000 0.000 0.000
Zr1 0.000 0.500 0.500
Zr2 0.500 0.000 0.500
Zr3 0.500 0.500 0.000
Se1 0.500 0.500 0.500
```



Entry from Alexandria: an optimized crystal structure of KMgTaNb2 (PBE-GGA).

As for the space-group type: No. 123. The calculation puts the formation energy at 2.39 eV/atom.

Geometry as CIF:
```
data_KMgTaNb2
_chemical_formula_sum 'K1 Mg1 Ta1 Nb2'
_space_group_name_H-M_alt 'P 1'
_space_group_IT_number 1
_cell_length_a 4.713
_cell_length_b 4.713
_cell_length_c 4.631
_cell_angle_alpha 90.00
_cell_angle_beta 90.00
_cell_angle_gamma 90.00
loop_
_space_group_symop_operation_xyz
'x,y,z'
loop_
_atom_site_label
_atom_site_fract_x
_atom_site_fract_y
_atom_site_fract_z
K1 0.000 0.000 0.000
Mg1 0.000 0.000 0.500
Ta1 0.500 0.500 0.500
Nb1 0.000 0.500 0.000
Nb2 0.500 0.000 0.000
```



Entry from Alexandria: an optimized crystal structure of In3PdAu (PBE-GGA).

As for the space-group type: No. 14. The calculation puts the formation energy at -0.25 eV/atom. Its energy above the most stable polymorph in this dataset is 0.0000 eV/atom.

Geometry as CIF:
```
data_In3PdAu
_chemical_formula_sum 'In12 Pd4 Au4'
_space_group_name_H-M_alt 'P 1'
_space_group_IT_number 1
_cell_length_a 9.530
_cell_length_b 5.453
_cell_length_c 10.662
_cell_angle_alpha 90.00
_cell_angle_beta 122.61
_cell_angle_gamma 90.00
loop_
_space_group_symop_operation_xyz
'x,y,z'
loop_
_atom_site_label
_atom_site_fract_x
_atom_site_fract_y
_atom_site_fract_z
In1 0.018 0.006 0.341
In2 0.018 0.494 0.841
In3 0.344 0.134 0.151
In4 0.344 0.366 0.651
In5 0.377 0.725 0.948
In6 0.377 0.775 0.448
In7 0.623 0.225 0.552
In8 0.623 0.275 0.052
In9 0.656 0.634 0.349
In10 0.656 0.866 0.849
In11 0.982 0.506 0.159
In12 0.982 0.994 0.659
Pd1 0.277 0.225 0.866
Pd2 0.277 0.275 0.366
Pd3 0.723 0.725 0.634
Pd4 0.723 0.775 0.134
Au1 0.266 0.639 0.148
Au2 0.266 0.861 0.648
Au3 0.734 0.139 0.352
Au4 0.734 0.361 0.852
```



What did the third record say?
Entry from Alexandria: an optimized crystal structure of KMgTaNb2 (PBE-GGA).

As for the space-group type: No. 123. The calculation puts the formation energy at 2.39 eV/atom.

Geometry as CIF:
```
data_KMgTaNb2
_chemical_formula_sum 'K1 Mg1 Ta1 Nb2'
_space_group_name_H-M_alt 'P 1'
_space_group_IT_number 1
_cell_length_a 4.713
_cell_length_b 4.713
_cell_length_c 4.631
_cell_angle_alpha 90.00
_cell_angle_beta 90.00
_cell_angle_gamma 90.00
loop_
_space_group_symop_operation_xyz
'x,y,z'
loop_
_atom_site_label
_atom_site_fract_x
_atom_site_fract_y
_atom_site_fract_z
K1 0.000 0.000 0.000
Mg1 0.000 0.000 0.500
Ta1 0.500 0.500 0.500
Nb1 0.000 0.500 0.000
Nb2 0.500 0.000 0.000
```



Number 1 is which compound?
Nd2Tm7Cd2



Number 3 is which compound?
KMgTaNb2